[1]
The following is a PBE-GGA calculation of a relaxed SmLuHgRu crystal, from Alexandria.

Lattice parameters (Å, degrees): 5.033 5.033 5.033 60.00 60.00 60.00
Fractional coordinates of all 4 atoms:
Ru: 0.750 0.750 0.750
Lu: 0.500 0.500 0.500
Hg: 0.250 0.250 0.250
Sm: 0.000 0.000 0.000

Output
The calculated volume is 22.54 Å³ per atom. For the formation energy, the calculation gives -330 meV per atom. The value obtained for the theoretical density is 11.55 g cm⁻³. As for the space group: No. 216.



[2]
The following is a PBE-GGA calculation of a relaxed FeMo6Rh3N2 crystal, from Alexandria.

Lattice parameters (Å, degrees): 6.819 6.806 6.819 89.53 90.00 90.00
Each line ends with the local moment (μB).
Fractional coordinates of all 24 atoms:
Fe: 0.685 0.181 0.936  2.49
Fe: 0.185 0.819 0.064  2.49
Mo: 0.623 0.048 0.547  0.01
Mo: 0.123 0.952 0.453  0.01
Mo: 0.874 0.542 0.950  -0.04
Mo: 0.374 0.458 0.050  -0.04
Mo: 0.203 0.626 0.703  -0.03
Mo: 0.299 0.122 0.796  -0.04
Mo: 0.799 0.878 0.204  -0.04
Mo: 0.703 0.374 0.297  -0.03
Mo: 0.047 0.204 0.127  -0.02
Mo: 0.955 0.300 0.626  -0.03
Mo: 0.547 0.796 0.873  -0.02
Mo: 0.455 0.700 0.374  -0.03
Rh: 0.813 0.689 0.564  0.11
Rh: 0.313 0.311 0.436  0.11
Rh: 0.064 0.570 0.303  0.14
Rh: 0.436 0.060 0.179  0.18
Rh: 0.564 0.430 0.697  0.14
Rh: 0.936 0.940 0.821  0.18
N: 0.375 0.875 0.622  0.01
N: 0.875 0.125 0.378  0.01
N: 0.127 0.374 0.874  0.00
N: 0.627 0.626 0.126  0.00

Output
The calculated volume is 13.19 Å³ per atom. The formation energy from raw total energies is -0.25 eV/atom. The value obtained for the theoretical density is 10.16 g cm⁻³. As for the space group: No. 4.



[3]
The following is a PBE-GGA calculation of a relaxed CeDy3Er3Se8 crystal, from Alexandria.

Lattice parameters (Å, degrees): 8.115 8.114 8.104 120.04 90.00 120.00
Each line ends with the local moment (μB).
Fractional coordinates of all 15 atoms:
Ce: 0.000 0.000 0.500  0.94
Dy: 0.000 0.000 0.000  0.04
Dy: 0.000 0.500 0.000  0.04
Dy: 0.500 0.500 0.000  0.04
Er: 0.500 0.000 0.500  0.03
Er: 0.500 0.500 0.500  0.03
Er: 0.000 0.500 0.500  0.03
Se: 0.251 0.502 0.253  0.00
Se: 0.749 0.498 0.747  0.00
Se: 0.740 0.480 0.242  0.00
Se: 0.260 0.520 0.758  0.00
Se: 0.740 0.002 0.242  0.00
Se: 0.260 0.998 0.758  0.00
Se: 0.262 0.002 0.242  0.00
Se: 0.738 0.998 0.758  0.00

Output
The calculated volume is 25.14 Å³ per atom. The formation energy from raw total energies is -1.79 eV/atom. The value obtained for the theoretical density is 7.75 g cm⁻³. As for the space group: No. 166.



[4]
The following is a PBE-GGA calculation of a relaxed La4Hg3Bi crystal, from Alexandria.

Lattice parameters (Å, degrees): 5.500 5.500 8.983 107.83 107.83 90.00
Each line ends with the local moment (μB).
Fractional coordinates of all 8 atoms:
Bi: 0.500 0.000 0.000  -0.01
Hg: 0.000 0.500 0.000  0.00
Hg: 0.756 0.256 0.512  0.01
Hg: 0.244 0.744 0.488  0.01
La: 0.373 0.373 0.746  0.06
La: 0.627 0.627 0.254  0.06
La: 0.127 0.127 0.254  0.06
La: 0.873 0.873 0.746  0.06

Output
The calculated volume is 30.61 Å³ per atom. For the formation energy, the calculation gives -589 meV per atom. The value obtained for the theoretical density is 9.26 g cm⁻³. As for the space group: No. 139.



[5]
The following is a PBE-GGA calculation of a relaxed Dy3Sc2Tl6 crystal, from Alexandria.

Lattice parameters (Å, degrees): 4.688 4.688 14.478 99.32 99.32 90.00
Fractional coordinates of all 11 atoms:
Dy: 0.000 0.000 0.000
Dy: 0.803 0.803 0.605
Dy: 0.197 0.197 0.395
Sc: 0.449 0.449 0.899
Sc: 0.551 0.551 0.101
Tl: 0.113 0.613 0.225
Tl: 0.613 0.113 0.225
Tl: 0.887 0.387 0.775
Tl: 0.387 0.887 0.775
Tl: 0.694 0.694 0.389
Tl: 0.306 0.306 0.611

Output
The calculated volume is 28.16 Å³ per atom. For the formation energy, the calculation gives -41 meV per atom. The value obtained for the theoretical density is 9.67 g cm⁻³. As for the space group: No. 139.



[6]
The following is a PBE-GGA calculation of a relaxed Mg3Au4 crystal, from Alexandria.

Lattice parameters (Å, degrees): 4.600 4.600 7.802 72.85 72.85 60.00
Fractional coordinates of all 7 atoms:
Mg: 0.250 0.250 0.250
Mg: 0.750 0.750 0.750
Mg: 0.000 0.000 0.000
Au: 0.613 0.613 0.160
Au: 0.874 0.874 0.377
Au: 0.126 0.126 0.623
Au: 0.387 0.387 0.840

Output
The calculated volume is 19.21 Å³ per atom. For the formation energy, the calculation gives -449 meV per atom. The value obtained for the theoretical density is 10.63 g cm⁻³. As for the polymorph energy (0 for the lowest one): 101 meV/atom. As for the space group: No. 166.



[7]
The following is a PBE-GGA calculation of a relaxed TaNb3Re crystal, from Alexandria.

Lattice parameters (Å, degrees): 5.058 5.326 7.533 108.10 70.49 90.05
Fractional coordinates of all 10 atoms:
Ta: 0.689 0.555 0.121
Ta: 0.310 0.445 0.879
Nb: 0.898 0.629 0.703
Nb: 0.464 0.791 0.572
Nb: 0.102 0.371 0.297
Nb: 0.536 0.209 0.428
Nb: 0.099 0.859 0.302
Nb: 0.901 0.141 0.698
Re: 0.000 0.000 0.000
Re: 0.500 0.000 0.000

Output
The calculated volume is 18.06 Å³ per atom. For the formation energy, the calculation gives 12 meV per atom. The value obtained for the theoretical density is 11.88 g cm⁻³. As for the polymorph energy (0 for the lowest one): 0 meV/atom. As for the space group: No. 2.



[8]
The following is a PBE-GGA calculation of a relaxed Na2TlCuSb crystal, from Alexandria.

Lattice parameters (Å, degrees): 5.899 4.846 5.899 90.00 90.00 90.00
Fractional coordinates of all 5 atoms:
Sb: 0.000 0.000 0.000
Tl: 0.500 0.500 0.500
Cu: 0.000 0.500 0.000
Na: 0.000 0.000 0.500
Na: 0.500 0.000 0.000

Output
The calculated volume is 33.73 Å³ per atom. The formation energy from raw total energies is 0.09 eV/atom. The value obtained for the theoretical density is 4.29 g cm⁻³. As for the space group: No. 123.



What did the second record say?
The following is a PBE-GGA calculation of a relaxed FeMo6Rh3N2 crystal, from Alexandria.

Lattice parameters (Å, degrees): 6.819 6.806 6.819 89.53 90.00 90.00
Each line ends with the local moment (μB).
Fractional coordinates of all 24 atoms:
Fe: 0.685 0.181 0.936  2.49
Fe: 0.185 0.819 0.064  2.49
Mo: 0.623 0.048 0.547  0.01
Mo: 0.123 0.952 0.453  0.01
Mo: 0.874 0.542 0.950  -0.04
Mo: 0.374 0.458 0.050  -0.04
Mo: 0.203 0.626 0.703  -0.03
Mo: 0.299 0.122 0.796  -0.04
Mo: 0.799 0.878 0.204  -0.04
Mo: 0.703 0.374 0.297  -0.03
Mo: 0.047 0.204 0.127  -0.02
Mo: 0.955 0.300 0.626  -0.03
Mo: 0.547 0.796 0.873  -0.02
Mo: 0.455 0.700 0.374  -0.03
Rh: 0.813 0.689 0.564  0.11
Rh: 0.313 0.311 0.436  0.11
Rh: 0.064 0.570 0.303  0.14
Rh: 0.436 0.060 0.179  0.18
Rh: 0.564 0.430 0.697  0.14
Rh: 0.936 0.940 0.821  0.18
N: 0.375 0.875 0.622  0.01
N: 0.875 0.125 0.378  0.01
N: 0.127 0.374 0.874  0.00
N: 0.627 0.626 0.126  0.00

Output
The calculated volume is 13.19 Å³ per atom. The formation energy from raw total energies is -0.25 eV/atom. The value obtained for the theoretical density is 10.16 g cm⁻³. As for the space group: No. 4.



Which of these has the highest calculated volume?
Na2TlCuSb



What is the theoretical density in the fourth record?
9.26 g cm⁻³